PBE-GGA Pr2WC3, optimized geometry; space group = C2/c, No. 15; total magnetization = 0.00 μB/f.u.; formation enthalpy at 0 K = 0.08 eV/atom
1.0
5.539 -2.794 0.000
5.539 2.794 0.000
-2.077 0.000 6.364
Pr W C
4 2 6
Cartesian
1.743 0.015 0.563
0.704 -0.015 3.746
8.297 0.015 2.619
7.258 -0.015 5.801
3.981 0.300 4.773
5.020 -0.300 1.591
3.981 2.176 4.773
2.059 0.058 5.942
3.098 -0.058 2.759
5.903 0.058 3.605
6.942 -0.058 0.423
5.020 -2.176 1.591